Compound: AgPdS6
Source: Alexandria
Functional: PBE
Structure: optimized geometry

Values from the calculation:
Calculated density   3.375 g/cm³
Formation energy from raw total energies   0.142 eV/atom
Energy   -3.959 eV per atom
Magnetization   0.7 μB/cell

a b c (Å): 5.006 5.996 7.259
angles (deg): 109.56 91.56 101.55
Space group P-1 (No. 2)
Unique sites:
Ag (0.000, 0.000, 0.000) (multiplicity 1)
Pd (0.500, 0.500, 0.000) (multiplicity 1)
S (0.155, 0.495, 0.426) (multiplicity 2)
S (0.261, 0.783, 0.177) (multiplicity 2)
S (0.324, 0.116, 0.761) (multiplicity 2)